1:
SbPd3C | GGA-PBE | relaxed

Unit cell a=4.926 b=4.926 c=4.926 alpha=90.00 beta=90.00 gamma=90.00
Atoms (fractional coordinates):
Sb1 0.000 0.000 0.000
Pd1 0.000 0.000 0.500
Pd2 0.500 0.000 0.000
Pd3 0.000 0.500 0.000
C1 0.500 0.500 0.500



2:
SbPd3C | GGA-PBE | relaxed

Unit cell a=4.267 b=4.267 c=4.267 alpha=90.00 beta=90.00 gamma=90.00
Atoms (fractional coordinates):
Pd1 0.000 0.000 0.500
Pd2 0.000 0.500 0.000
Pd3 0.500 0.000 0.000
C1 0.000 0.000 0.000
Sb1 0.500 0.500 0.500



Name the least stable of them. 1.